VASP calculation (PBE) on a relaxed structure of NaPu2MoN4.

## Properties
VASP energy, eV/atom: -9.99
Energy relative to the elements, uncorrected, eV per atom: -0.7279
Density of states at the Fermi level, states/eV/atom: 1.403

Cell lengths 3.4393, 6.3471, 12.1205 Å; angles 90.00, 90.00, 105.72 degrees
Positions (direct):
Na 0.0797 0.1595 0.7500
Na 0.9203 0.8405 0.2500
Pu 0.3717 0.7434 0.5370
Pu 0.6283 0.2566 0.0370
Pu 0.6283 0.2566 0.4630
Pu 0.3717 0.7434 0.9630
Mo 0.8210 0.6421 0.7500
Mo 0.1790 0.3579 0.2500
N 0.2527 0.5054 0.1110
N 0.7473 0.4946 0.6110
N 0.7473 0.4946 0.8890
N 0.2527 0.5054 0.3890
N 0.0000 0.0000 0.5000
N 0.0000 0.0000 0.0000
N 0.4058 0.8115 0.7500
N 0.5942 0.1885 0.2500